Entry 1:
The following is a PBE-GGA calculation of a geometry-optimized Cs2KCl structure, from Alexandria.

a = 10.170 Å, b = 10.170 Å, c = 10.170 Å
α = 90.00°, β = 90.00°, γ = 90.00°
Space group Fm-3m (No. 225)
Unique sites:
Cs: 0.250 0.250 0.250
K: 0.000 0.000 0.000
Cl: 0.000 0.000 0.500

Output
Energy above the lowest structure with this stoichiometry ... 0.324 eV/atom
D(E_F) ... 0.00 states/eV/cell
V ... 1052 Å³ per cell
ΔE_f (raw) ... -0.62 eV/atom

***

Entry 2:
The following is a PBE-GGA calculation of a geometry-optimized LiGa2Pb2Au7 structure, from Alexandria.

a = 5.966 Å, b = 5.827 Å, c = 14.391 Å
α = 90.00°, β = 98.14°, γ = 90.00°
Space group C2/m (No. 12)
Unique sites:
Li: 0.000 0.000 0.000
Ga: 0.086 0.500 0.256
Pb: 0.114 0.000 0.362
Au: 0.000 0.500 0.000
Au: 0.160 0.500 0.438
Au: 0.201 0.249 0.859

Output
Energy relative to the elements ... -0.17 eV per atom
D(E_F) ... 7.97 states/eV/cell
V ... 495 Å³ per cell

***

Entry 3:
The following is a PBE-GGA calculation of a geometry-optimized Pr3MgGa structure, from Alexandria.

a = 5.391 Å, b = 20.306 Å, c = 5.380 Å
α = 90.00°, β = 90.00°, γ = 90.00°
Space group Cmcm (No. 63)
Unique sites:
Pr: 0.000 0.065 0.250
Pr: 0.000 0.250 0.250
Pr: 0.000 0.435 0.250
Mg: 0.000 0.157 0.750
Ga: 0.000 0.341 0.750

Output
Energy above the lowest structure with this stoichiometry ... 0.000 eV/atom
Energy relative to the elements ... -0.23 eV per atom
D(E_F) ... 22.76 states/eV/cell
V ... 589 Å³ per cell

***

Entry 4:
The following is a PBE-GGA calculation of a geometry-optimized Sr3PbN structure, from Alexandria.

a = 9.398 Å, b = 6.860 Å, c = 11.417 Å
α = 90.00°, β = 120.29°, γ = 90.00°
Space group P2_1/c (No. 14)
Unique sites:
Sr: 0.081 0.045 0.392
Sr: 0.194 0.561 0.545
Sr: 0.347 0.161 0.772
Pb: 0.435 0.686 0.895
N: 0.067 0.238 0.574

Output
D(E_F) ... 6.38 states/eV/cell
V ... 636 Å³ per cell
ΔE_f (raw) ... -0.52 eV/atom

***

Entry 5:
The following is a PBE-GGA calculation of a geometry-optimized Nd2PuS5 structure, from Alexandria.

a = 11.950 Å, b = 8.052 Å, c = 7.524 Å
α = 90.00°, β = 90.00°, γ = 90.00°
Space group Pnma (No. 62)
Unique sites:
Nd: 0.176 0.000 0.027
Pu: 0.005 0.250 0.558
S: 0.001 0.250 0.952
S: 0.095 0.538 0.664
S: 0.189 0.250 0.333
S: 0.212 0.750 0.309

Output
D(E_F) ... 37.21 states/eV/cell
V ... 724 Å³ per cell
ΔE_f (raw) ... -1.83 eV/atom

***

Entry 6:
The following is a PBE-GGA calculation of a geometry-optimized Sm4AlTl2 structure, from Alexandria.

a = 7.022 Å, b = 8.598 Å, c = 8.608 Å
α = 80.86°, β = 65.95°, γ = 65.99°
Space group P-1 (No. 2)
Unique sites:
Sm: 0.002 0.281 0.220
Sm: 0.018 0.304 0.661
Sm: 0.483 0.837 0.196
Sm: 0.497 0.281 0.220
Al: 0.249 0.502 0.000
Tl: 0.000 0.000 0.000
Tl: 0.000 0.000 0.500
Tl: 0.500 0.000 0.500
Tl: 0.500 0.500 0.500

Output
Energy above the lowest structure with this stoichiometry ... 0.077 eV/atom
Energy relative to the elements ... -0.13 eV per atom
D(E_F) ... 14.56 states/eV/cell
V ... 433 Å³ per cell

***

Entry 7:
The following is a PBE-GGA calculation of a geometry-optimized Sm3Y2HoS6 structure, from Alexandria.

a = 6.826 Å, b = 11.866 Å, c = 6.882 Å
α = 90.00°, β = 109.35°, γ = 90.00°
Space group C2/m (No. 12)
Unique sites:
Sm: 0.000 0.000 0.000
Sm: 0.000 0.332 0.000
Y: 0.000 0.167 0.500
Ho: 0.000 0.500 0.500
S: 0.246 0.334 0.740
S: 0.249 0.000 0.741

Output
D(E_F) ... 10.50 states/eV/cell
V ... 526 Å³ per cell
ΔE_f (raw) ... -2.01 eV/atom

***

Entry 8:
The following is a PBE-GGA calculation of a geometry-optimized Mg5In12Sn2 structure, from Alexandria.

a = 14.307 Å, b = 9.591 Å, c = 7.182 Å
α = 90.00°, β = 90.30°, γ = 90.00°
Space group C2/m (No. 12)
Unique sites:
Mg: 0.000 0.000 0.000
Mg: 0.151 0.500 0.402
Mg: 0.243 0.000 0.003
In: 0.053 0.500 0.788
In: 0.104 0.264 0.098
In: 0.146 0.000 0.386
In: 0.198 0.235 0.700
Sn: 0.000 0.236 0.500

Output
Energy above the lowest structure with this stoichiometry ... 0.000 eV/atom
Energy relative to the elements ... 0.00 eV per atom
D(E_F) ... 17.91 states/eV/cell
V ... 986 Å³ per cell

***

Number 1: DFT total energy -1.782 eV/atom. Number 2: DFT total energy -3.368 eV/atom. Number 3: DFT total energy -4.026 eV/atom. Number 4: DFT total energy -3.940 eV/atom. Number 5: DFT total energy -7.391 eV/atom. Number 6: DFT total energy -4.042 eV/atom. Number 7: DFT total energy -6.715 eV/atom. Number 8: DFT total energy -2.572 eV/atom.